LiGa2Re | GGA-PBE | optimized geometry

Properties
**Offset from the most stable computed form**: 0.586 eV/atom
**DOS(E_F)**: 0.6 states/eV per cell
**ΔH_f (0 K)**: 506 meV/atom
**Total magnetization**: 0.00 μB per formula unit
**E_tot**: -0.3379 Ry per atom

Unit cell a=3.834 b=3.834 c=9.223 alpha=78.00 beta=78.00 gamma=90.00
Fractional coordinates of all 8 atoms:
Re (0.000, 0.000, 0.000)
Re (0.750, 0.250, 0.500)
Ga (0.643, 0.125, 0.250)
Ga (0.107, 0.625, 0.250)
Ga (0.375, 0.357, 0.750)
Ga (0.875, 0.893, 0.750)
Li (0.500, 0.500, 0.000)
Li (0.250, 0.750, 0.500)